Entry 1:
Entry from Alexandria: a relaxed structure of BSbO4 (GGA-PBE).

Calculated values
**E_form (uncorrected)**: -1531.2 meV per atom

Lattice parameters (Å, degrees): 4.4053 4.4053 7.6495 90.00 90.00 90.00
Closest atoms and distances in Å follow each position.
Space group P-42c (No. 112)
Symmetry-distinct sites (fractional):
B 0.0000 0.5000 0.2500 (multiplicity 2)  4 O 1.49
Sb 0.0000 0.0000 0.0000 (multiplicity 2)  4 O 1.92
O 0.1984 0.3038 0.3605 (multiplicity 8)  1 B 1.49

---

Entry 2:
Entry from Alexandria: a relaxed structure of Cs3BaPb2Cl9 (GGA-PBE).

Calculated values
**E_form (uncorrected)**: -1765.5 meV per atom

Lattice parameters (Å, degrees): 8.1510 8.1510 10.4634 90.00 90.00 120.00
Closest atoms and distances in Å follow each position.
Space group P-3m1 (No. 164)
Symmetry-distinct sites (fractional):
Cs 0.0000 0.0000 0.0000 (multiplicity 1)  12 Cl 4.04-4.08
Cs 0.3333 0.6667 0.7278 (multiplicity 2)  9 Cl 3.69-4.10
Ba 0.0000 0.0000 0.5000 (multiplicity 1)  6 Cl 3.03
Pb 0.3333 0.6667 0.1664 (multiplicity 2)  6 Cl 2.84-2.93
Cl 0.0000 0.5000 0.0000 (multiplicity 3)  2 Pb 2.93
Cl 0.1652 0.3305 0.3147 (multiplicity 6)  1 Pb 2.84, 1 Ba 3.03

---

Entry 3:
Entry from Alexandria: a relaxed structure of SrLa2Cd (GGA-PBE).

Calculated values
**ΔH_f (0 K)**: 0.02 eV/atom

Lattice parameters (Å, degrees): 3.8768 3.8768 35.3968 90.00 90.00 120.00
Closest atoms and distances in Å follow each position.
Space group R3m (No. 160, hexagonal axes)
Symmetry-distinct sites (fractional):
Sr 0.0000 0.0000 0.0000 (multiplicity 3)  6 Sr 3.88, 6 La 4.04-4.09
La 0.0000 0.0000 0.2366 (multiplicity 3)  3 Cd 3.36
La 0.0000 0.0000 0.4284 (multiplicity 3)  3 Cd 3.36
Cd 0.0000 0.0000 0.8324 (multiplicity 3)  6 La 3.36

---

Entry 4:
Entry from Alexandria: a relaxed structure of TaInBr2 (GGA-PBE).

Calculated values
**E_form (uncorrected)**: 394.0 meV per atom

Lattice parameters (Å, degrees): 5.0418 3.2226 5.7210 90.00 106.98 90.00
Closest atoms and distances in Å follow each position.
Space group P2/m (No. 10)
Symmetry-distinct sites (fractional):
Ta 0.0000 0.0000 0.0000 (multiplicity 1)  6 Br 2.99-3.21, 2 Ta 3.22, 4 In 3.28
In 0.0000 0.5000 0.5000 (multiplicity 1)  6 Br 2.99-3.21, 2 In 3.22, 4 Ta 3.28
Br 0.5000 0.0000 0.5000 (multiplicity 1)  4 In 2.99, 2 Ta 3.21, 6 Br 3.22-3.28
Br 0.5000 0.5000 0.0000 (multiplicity 1)  4 Ta 2.99, 2 In 3.21, 6 Br 3.22-3.28

---

Entry 5:
Entry from Alexandria: a relaxed structure of Nd2Y3Tm2 (GGA-PBE).

Calculated values
**ΔH_f (0 K)**: 0.13 eV/atom

Lattice parameters (Å, degrees): 17.5608 3.5090 8.5817 90.00 119.04 90.00
Closest atoms and distances in Å follow each position.
Space group C2/m (No. 12)
Symmetry-distinct sites (fractional):
Nd 0.0663 0.0000 0.2185 (multiplicity 4)  3 Nd 3.32-3.51, 5 Y 3.45-3.63, 2 Tm 3.61
Y 0.0000 0.5000 0.5000 (multiplicity 2)  4 Y 3.33-3.51, 2 Tm 3.57, 4 Nd 3.61
Y 0.2117 0.5000 0.6262 (multiplicity 4)  5 Y 3.33-3.52, 3 Nd 3.45-3.63, 3 Tm 3.57-3.60
Tm 0.1505 0.5000 0.9664 (multiplicity 4)  4 Tm 3.51-3.70, 4 Y 3.57-3.60, 4 Nd 3.61-3.77

---

Entry 6:
Entry from Alexandria: a relaxed structure of Sc2MnW (GGA-PBE).

Calculated values
**ΔH_f (0 K)**: 0.34 eV/atom

Lattice parameters (Å, degrees): 5.7101 9.0897 2.8403 90.00 105.79 90.00
Closest atoms and distances in Å follow each position.
Space group C2/m (No. 12)
Symmetry-distinct sites (fractional):
Sc 0.2500 0.2500 0.0000 (multiplicity 4)  4 Sc 2.84-2.86, 2 Mn 2.85, 2 W 2.85
Mn 0.0000 0.0000 0.5000 (multiplicity 2)  2 Mn 2.84, 4 Sc 2.85, 2 W 2.86
W 0.0000 0.5000 0.5000 (multiplicity 2)  2 W 2.84, 4 Sc 2.85, 2 Mn 2.86

---

Entry 7:
Entry from Alexandria: a relaxed structure of Np4BiO12 (GGA-PBE).

Calculated values
**E_form (uncorrected)**: -2601.4 meV per atom

Lattice parameters (Å, degrees): 8.3846 8.3846 8.0913 90.00 90.00 90.00
Closest atoms and distances in Å follow each position.
Space group I4/mmm (No. 139)
Symmetry-distinct sites (fractional):
Np 0.2500 0.2500 0.2500 (multiplicity 8)  6 O 2.08-2.15
Bi 0.0000 0.0000 0.0000 (multiplicity 2)  8 O 2.53
O 0.0000 0.2383 0.1924 (multiplicity 16)  2 Np 2.15
O 0.2109 0.2109 0.5000 (multiplicity 8)  2 Np 2.08

---

Entry 8:
Entry from Alexandria: a relaxed structure of NaLaScIn (GGA-PBE).

Calculated values
**ΔH_f (0 K)**: -0.11 eV/atom

Lattice parameters (Å, degrees): 7.6430 7.6430 7.6430 90.00 90.00 90.00
Closest atoms and distances in Å follow each position.
Space group F-43m (No. 216)
Symmetry-distinct sites (fractional):
Na 0.0000 0.0000 0.0000 (multiplicity 4)  4 Sc 3.31, 4 La 3.31
La 0.2500 0.2500 0.7500 (multiplicity 4)  4 Na 3.31, 4 In 3.31
Sc 0.2500 0.2500 0.2500 (multiplicity 4)  4 In 3.31, 4 Na 3.31
In 0.0000 0.0000 0.5000 (multiplicity 4)  4 La 3.31, 4 Sc 3.31

---

Entry 9:
Entry from Alexandria: a relaxed structure of MgUP2 (GGA-PBE).

Calculated values
**ΔH_f (0 K)**: -0.68 eV/atom

Lattice parameters (Å, degrees): 3.9045 3.9045 19.0025 90.00 90.00 120.00
Closest atoms and distances in Å follow each position.
Space group R3m (No. 160, hexagonal axes)
Symmetry-distinct sites (fractional):
Mg 0.0000 0.0000 0.0000 (multiplicity 3)  6 P 2.69-2.83
U 0.0000 0.0000 0.1736 (multiplicity 3)  6 P 2.74-2.76
P 0.0000 0.0000 0.5894 (multiplicity 3)  3 Mg 2.69, 3 U 2.74
P 0.0000 0.0000 0.7567 (multiplicity 3)  3 U 2.76, 3 Mg 2.83

---

Entry 10:
Entry from Alexandria: a relaxed structure of MnVCuAu2 (GGA-PBE).

Calculated values
**ΔH_f (0 K)**: 1.18 eV/atom

Lattice parameters (Å, degrees): 4.8302 4.8302 4.4252 90.00 90.00 90.00
Closest atoms and distances in Å follow each position.
Space group P4/mmm (No. 123)
Symmetry-distinct sites (fractional):
Mn 0.0000 0.0000 0.0000 (multiplicity 1)  2 Cu 2.21, 4 Au 2.42
V 0.5000 0.5000 0.5000 (multiplicity 1)  8 Au 3.28, 4 Cu 3.42
Cu 0.0000 0.0000 0.5000 (multiplicity 1)  2 Mn 2.21
Au 0.0000 0.5000 0.0000 (multiplicity 2)  2 Mn 2.42

---

Entry 11:
Entry from Alexandria: a relaxed structure of FeTe2Ru (GGA-PBE).

Calculated values
**E_form (uncorrected)**: 375.2 meV per atom

Lattice parameters (Å, degrees): 3.2914 3.2985 6.6686 90.00 90.16 90.00
Closest atoms and distances in Å follow each position.
Space group P2/m (No. 10)
Symmetry-distinct sites (fractional):
Fe 0.0000 0.0000 0.0000 (multiplicity 1)  8 Te 2.85-2.86
Te 0.4996 0.5000 0.2476 (multiplicity 2)  4 Fe 2.85-2.86, 4 Ru 2.87-2.88
Ru 0.0000 0.0000 0.5000 (multiplicity 1)  8 Te 2.87-2.88

---

Entry 12:
Entry from Alexandria: a relaxed structure of CeHoErTh (GGA-PBE).

Calculated values
**ΔH_f (0 K)**: 0.02 eV/atom

Lattice parameters (Å, degrees): 3.5342 3.5342 33.9705 90.00 90.00 120.00
Closest atoms and distances in Å follow each position.
Space group R3m (No. 160, hexagonal axes)
Symmetry-distinct sites (fractional):
Ce 0.0000 0.0000 0.0000 (multiplicity 3)  3 Th 3.44, 3 Er 3.50, 6 Ce 3.53
Ho 0.0000 0.0000 0.8323 (multiplicity 3)  3 Er 3.51, 3 Th 3.51, 6 Ho 3.53
Er 0.0000 0.0000 0.5830 (multiplicity 3)  3 Ce 3.50, 3 Ho 3.51, 6 Er 3.53
Th 0.0000 0.0000 0.4149 (multiplicity 3)  3 Ce 3.44, 3 Ho 3.51, 6 Th 3.53

---

Entry 13:
Entry from Alexandria: a relaxed structure of La2NiW (GGA-PBE).

Calculated values
**ΔH_f (0 K)**: 0.69 eV/atom

Lattice parameters (Å, degrees): 7.8191 7.8191 6.1288 90.00 90.00 90.00
Closest atoms and distances in Å follow each position.
Space group I-42d (No. 122)
Symmetry-distinct sites (fractional):
La 0.2229 0.2500 0.1250 (multiplicity 8)  2 Ni 2.73, 2 W 3.02
Ni 0.0000 0.0000 0.0000 (multiplicity 4)  4 La 2.73
W 0.0000 0.0000 0.5000 (multiplicity 4)  4 La 3.02, 2 Ni 3.06

---

Listing magnetic moment for the structures above in their given order: 0.000 0.000 0.000 0.000 0.000 2.031 7.000 0.006 2.005 3.999 2.828 0.107 1.596 μB per formula unit.
Listing E_tot for the structures above in their given order: -6.637 -3.667 -3.093 -4.090 -5.283 -8.353 -9.375 -3.938 -6.603 -4.605 -5.630 -5.600 -6.455 eV per atom.